No. 1
The following is a DFT calculation (PBE-GGA) of a geometry-optimized CsKHCl structure.

Properties
SG	R-3m (166)
energy above the most stable polymorph in this dataset	0.011	eV/atom
spin magnetization	0.04	Bohr magnetons per cell

abc: 12.428 12.428 12.428
angles: 26.01 26.01 26.01
Fractional positions:
1 Cs 0.213 0.213 0.213
2 Cs 0.787 0.787 0.787
3 K 0.369 0.369 0.369
4 K 0.631 0.631 0.631
5 H 0.298 0.298 0.298
6 H 0.702 0.702 0.702
7 Cl 0.111 0.111 0.111
8 Cl 0.889 0.889 0.889

No. 2
The following is a DFT calculation (PBE-GGA) of a geometry-optimized TbZrHgPd structure.

Properties
formation enthalpy at 0 K	-402	meV/atom
SG	F-43m (216)
spin magnetization	2.81	Bohr magnetons per cell

abc: 7.071 7.071 7.071
angles: 90.00 90.00 90.00
Fractional positions:
1 Tb 0.000 0.000 0.000
2 Tb 0.000 0.500 0.500
3 Tb 0.500 0.000 0.500
4 Tb 0.500 0.500 0.000
5 Zr 0.000 0.000 0.500
6 Zr 0.000 0.500 0.000
7 Zr 0.500 0.000 0.000
8 Zr 0.500 0.500 0.500
9 Hg 0.250 0.250 0.250
10 Hg 0.250 0.750 0.750
11 Hg 0.750 0.250 0.750
12 Hg 0.750 0.750 0.250
13 Pd 0.250 0.250 0.750
14 Pd 0.250 0.750 0.250
15 Pd 0.750 0.250 0.250
16 Pd 0.750 0.750 0.750

No. 3
The following is a DFT calculation (PBE-GGA) of a geometry-optimized CsRb5Na structure.

Properties
formation enthalpy at 0 K	33	meV/atom
SG	P4/mmm (123)
energy above the most stable polymorph in this dataset	0.000	eV/atom
spin magnetization	0.00	Bohr magnetons per cell

abc: 7.180 7.180 12.141
angles: 90.00 90.00 90.00
Fractional positions:
1 Cs 0.000 0.000 0.000
2 Rb 0.000 0.500 0.305
3 Rb 0.000 0.500 0.695
4 Rb 0.500 0.000 0.305
5 Rb 0.500 0.000 0.695
6 Rb 0.500 0.500 0.000
7 Na 0.000 0.000 0.500

No. 4
The following is a DFT calculation (PBE-GGA) of a geometry-optimized TaN structure.

Properties
SG	Amm2 (38)
formation energy (no corrections)	-0.822	eV/atom
spin magnetization	0.00	Bohr magnetons per cell

abc: 3.018 8.650 6.111
angles: 90.00 90.00 90.00
Fractional positions:
1 Ta 0.000 0.000 0.000
2 Ta 0.000 0.500 0.500
3 Ta 0.500 0.234 0.739
4 Ta 0.500 0.266 0.239
5 Ta 0.500 0.734 0.239
6 Ta 0.500 0.766 0.739
7 N 0.000 0.239 0.487
8 N 0.000 0.261 0.987
9 N 0.000 0.739 0.987
10 N 0.000 0.761 0.487
11 N 0.500 0.000 0.746
12 N 0.500 0.500 0.246

No. 5
The following is a DFT calculation (PBE-GGA) of a geometry-optimized Fe2SbOs structure.

Properties
SG	Cm (8)
formation energy (no corrections)	0.356	eV/atom
spin magnetization	9.62	Bohr magnetons per cell

abc: 8.623 3.014 4.654
angles: 90.00 102.89 90.00
Fractional positions:
1 Fe 0.000 0.000 0.000
2 Fe 0.235 0.500 0.195
3 Fe 0.500 0.500 0.000
4 Fe 0.735 0.000 0.195
5 Sb 0.496 0.000 0.478
6 Sb 0.996 0.500 0.478
7 Os 0.254 0.000 0.744
8 Os 0.754 0.500 0.744

No. 6
The following is a DFT calculation (PBE-GGA) of a geometry-optimized PPb2O structure.

Properties
SG	Fm-3m (225)
formation energy (no corrections)	0.025	eV/atom
energy above the most stable polymorph in this dataset	0.254	eV/atom
spin magnetization	0.00	Bohr magnetons per cell

abc: 6.851 6.851 6.851
angles: 90.00 90.00 90.00
Fractional positions:
1 P 0.000 0.000 0.000
2 P 0.000 0.500 0.500
3 P 0.500 0.000 0.500
4 P 0.500 0.500 0.000
5 Pb 0.250 0.250 0.250
6 Pb 0.250 0.250 0.750
7 Pb 0.250 0.750 0.250
8 Pb 0.250 0.750 0.750
9 Pb 0.750 0.250 0.250
10 Pb 0.750 0.250 0.750
11 Pb 0.750 0.750 0.250
12 Pb 0.750 0.750 0.750
13 O 0.000 0.000 0.500
14 O 0.000 0.500 0.000
15 O 0.500 0.000 0.000
16 O 0.500 0.500 0.500

No. 7
The following is a DFT calculation (PBE-GGA) of a geometry-optimized Cd3Ag7 structure.

Properties
formation enthalpy at 0 K	-38	meV/atom
SG	C2/m (12)
spin magnetization	0.00	Bohr magnetons per cell

abc: 7.862 7.862 5.885
angles: 100.36 100.36 31.57
Fractional positions:
1 Cd 0.000 0.000 0.000
2 Cd 0.198 0.198 0.608
3 Cd 0.802 0.802 0.392
4 Ag 0.000 0.000 0.500
5 Ag 0.200 0.200 0.103
6 Ag 0.400 0.400 0.696
7 Ag 0.401 0.401 0.196
8 Ag 0.599 0.599 0.804
9 Ag 0.600 0.600 0.304
10 Ag 0.800 0.800 0.897

No. 8
The following is a DFT calculation (PBE-GGA) of a geometry-optimized YMgInPb structure.

Properties
formation enthalpy at 0 K	-215	meV/atom
SG	F-43m (216)
energy above the most stable polymorph in this dataset	0.159	eV/atom
spin magnetization	0.00	Bohr magnetons per cell

abc: 7.521 7.521 7.521
angles: 90.00 90.00 90.00
Fractional positions:
1 Y 0.000 0.000 0.000
2 Y 0.000 0.500 0.500
3 Y 0.500 0.000 0.500
4 Y 0.500 0.500 0.000
5 Mg 0.000 0.000 0.500
6 Mg 0.000 0.500 0.000
7 Mg 0.500 0.000 0.000
8 Mg 0.500 0.500 0.500
9 In 0.250 0.250 0.750
10 In 0.250 0.750 0.250
11 In 0.750 0.250 0.250
12 In 0.750 0.750 0.750
13 Pb 0.250 0.250 0.250
14 Pb 0.250 0.750 0.750
15 Pb 0.750 0.250 0.750
16 Pb 0.750 0.750 0.250

No. 9
The following is a DFT calculation (PBE-GGA) of a geometry-optimized TmPuGe2O8 structure.

Properties
SG	I-4m2 (119)
formation energy (no corrections)	-2.347	eV/atom
spin magnetization	3.00	Bohr magnetons per cell

abc: 5.904 5.904 5.904
angles: 107.31 107.31 113.89
Fractional positions:
1 Tm 0.000 0.000 0.000
2 Pu 0.750 0.250 0.500
3 Ge 0.250 0.750 0.500
4 Ge 0.500 0.500 0.000
5 O 0.061 0.378 0.316
6 O 0.061 0.745 0.684
7 O 0.127 0.315 0.813
8 O 0.255 0.939 0.316
9 O 0.502 0.315 0.187
10 O 0.622 0.939 0.684
11 O 0.685 0.498 0.813
12 O 0.685 0.873 0.187

No. 10
The following is a DFT calculation (PBE-GGA) of a geometry-optimized CaHgSb2Te structure.

Properties
SG	P4/mmm (123)
formation energy (no corrections)	0.370	eV/atom
energy above the most stable polymorph in this dataset	0.170	eV/atom
spin magnetization	0.00	Bohr magnetons per cell

abc: 5.857 5.857 5.738
angles: 90.00 90.00 90.00
Fractional positions:
1 Ca 0.000 0.000 0.000
2 Hg 0.500 0.500 0.500
3 Sb 0.000 0.500 0.000
4 Sb 0.500 0.000 0.000
5 Te 0.000 0.000 0.500

No. 11
The following is a DFT calculation (PBE-GGA) of a geometry-optimized Dy4MgOs structure.

Properties
formation enthalpy at 0 K	180	meV/atom
SG	I4_1md (109)
energy above the most stable polymorph in this dataset	0.370	eV/atom
spin magnetization	0.00	Bohr magnetons per cell

abc: 8.152 8.152 8.152
angles: 102.28 102.28 125.07
Fractional positions:
1 Dy 0.183 0.000 0.183
2 Dy 0.213 0.469 0.256
3 Dy 0.213 0.958 0.744
4 Dy 0.219 0.463 0.756
5 Dy 0.708 0.463 0.244
6 Dy 0.750 0.067 0.317
7 Dy 0.750 0.433 0.683
8 Dy 0.817 0.000 0.817
9 Mg 0.416 0.916 0.500
10 Mg 0.666 0.666 0.000
11 Os 0.027 0.527 0.500
12 Os 0.277 0.277 0.000

No. 12
The following is a DFT calculation (PBE-GGA) of a geometry-optimized YLuAgPb structure.

Properties
formation enthalpy at 0 K	-370	meV/atom
SG	F-43m (216)
spin magnetization	2.07	Bohr magnetons per cell

abc: 7.412 7.412 7.412
angles: 90.00 90.00 90.00
Fractional positions:
1 Y 0.000 0.000 0.000
2 Y 0.000 0.500 0.500
3 Y 0.500 0.000 0.500
4 Y 0.500 0.500 0.000
5 Lu 0.000 0.000 0.500
6 Lu 0.000 0.500 0.000
7 Lu 0.500 0.000 0.000
8 Lu 0.500 0.500 0.500
9 Ag 0.250 0.250 0.250
10 Ag 0.250 0.750 0.750
11 Ag 0.750 0.250 0.750
12 Ag 0.750 0.750 0.250
13 Pb 0.250 0.250 0.750
14 Pb 0.250 0.750 0.250
15 Pb 0.750 0.250 0.250
16 Pb 0.750 0.750 0.750

No. 13
The following is a DFT calculation (PBE-GGA) of a geometry-optimized AgPbBr structure.

Properties
SG	Amm2 (38)
formation energy (no corrections)	-0.135	eV/atom
energy above the most stable polymorph in this dataset	0.032	eV/atom
spin magnetization	0.00	Bohr magnetons per cell

abc: 13.044 3.878 6.531
angles: 90.00 90.00 90.00
Fractional positions:
1 Ag 0.000 0.000 0.000
2 Ag 0.000 0.500 0.500
3 Ag 0.500 0.000 0.229
4 Ag 0.500 0.500 0.729
5 Pb 0.338 0.000 0.890
6 Pb 0.338 0.500 0.390
7 Pb 0.662 0.000 0.890
8 Pb 0.662 0.500 0.390
9 Br 0.142 0.000 0.337
10 Br 0.142 0.500 0.837
11 Br 0.858 0.000 0.337
12 Br 0.858 0.500 0.837

No. 14
The following is a DFT calculation (PBE-GGA) of a geometry-optimized HoCd2Hg4 structure.

Properties
formation enthalpy at 0 K	-180	meV/atom
SG	R-3m (166)
spin magnetization	0.00	Bohr magnetons per cell

abc: 8.601 8.601 8.601
angles: 33.76 33.76 33.76
Fractional positions:
1 Ho 0.000 0.000 0.000
2 Cd 0.254 0.254 0.254
3 Cd 0.746 0.746 0.746
4 Hg 0.132 0.132 0.132
5 Hg 0.385 0.385 0.385
6 Hg 0.615 0.615 0.615
7 Hg 0.868 0.868 0.868

No. 15
The following is a DFT calculation (PBE-GGA) of a geometry-optimized Re2Mo structure.

Properties
formation enthalpy at 0 K	455	meV/atom
SG	I4_1/amd (141)
energy above the most stable polymorph in this dataset	0.340	eV/atom
spin magnetization	0.00	Bohr magnetons per cell

abc: 2.775 2.775 24.755
angles: 90.00 90.00 90.00
Fractional positions:
1 Re 0.000 0.250 0.295
2 Re 0.000 0.250 0.455
3 Re 0.000 0.750 0.545
4 Re 0.000 0.750 0.705
5 Re 0.500 0.250 0.045
6 Re 0.500 0.250 0.205
7 Re 0.500 0.750 0.795
8 Re 0.500 0.750 0.955
9 Mo 0.000 0.250 0.875
10 Mo 0.000 0.750 0.125
11 Mo 0.500 0.250 0.625
12 Mo 0.500 0.750 0.375

No. 16
The following is a DFT calculation (PBE-GGA) of a geometry-optimized Nb2VBC structure.

Properties
formation enthalpy at 0 K	253	meV/atom
SG	P4/mmm (123)
spin magnetization	0.00	Bohr magnetons per cell

abc: 4.270 4.270 3.734
angles: 90.00 90.00 90.00
Fractional positions:
1 Nb 0.000 0.500 0.000
2 Nb 0.500 0.000 0.000
3 V 0.000 0.000 0.500
4 B 0.500 0.500 0.500
5 C 0.000 0.000 0.000

No. 17
The following is a DFT calculation (PBE-GGA) of a geometry-optimized Tc2OsSe structure.

Properties
SG	Immm (71)
formation energy (no corrections)	0.361	eV/atom
spin magnetization	0.00	Bohr magnetons per cell

abc: 2.968 4.446 8.897
angles: 90.00 90.00 90.00
Fractional positions:
1 Tc 0.000 0.000 0.225
2 Tc 0.000 0.000 0.775
3 Tc 0.500 0.500 0.275
4 Tc 0.500 0.500 0.725
5 Os 0.000 0.500 0.000
6 Os 0.500 0.000 0.500
7 Se 0.000 0.500 0.500
8 Se 0.500 0.000 0.000

No. 18
The following is a DFT calculation (PBE-GGA) of a geometry-optimized ScMn structure.

Properties
formation enthalpy at 0 K	303	meV/atom
SG	R-3m (166)
spin magnetization	8.36	Bohr magnetons per cell

abc: 3.084 3.084 13.474
angles: 90.00 90.00 120.00
Fractional positions:
1 Sc 0.000 0.000 0.000
2 Sc 0.333 0.667 0.667
3 Sc 0.667 0.333 0.333
4 Mn 0.000 0.000 0.500
5 Mn 0.333 0.667 0.167
6 Mn 0.667 0.333 0.833

No. 19
The following is a DFT calculation (PBE-GGA) of a geometry-optimized Sr2MgHgN structure.

Properties
SG	P4/mmm (123)
formation energy (no corrections)	-0.479	eV/atom
spin magnetization	0.00	Bohr magnetons per cell

abc: 5.449 5.449 4.222
angles: 90.00 90.00 90.00
Fractional positions:
1 Sr 0.000 0.500 0.000
2 Sr 0.500 0.000 0.000
3 Mg 0.000 0.000 0.500
4 Hg 0.500 0.500 0.500
5 N 0.000 0.000 0.000

No. 20
The following is a DFT calculation (PBE-GGA) of a geometry-optimized PrMg4Pt4 structure.

Properties
formation enthalpy at 0 K	-680	meV/atom
SG	P4_2/nmc (137)
spin magnetization	0.00	Bohr magnetons per cell

abc: 6.633 6.633 8.314
angles: 90.00 90.00 90.00
Fractional positions:
1 Pr 0.250 0.750 0.250
2 Pr 0.750 0.250 0.750
3 Mg 0.001 0.250 0.134
4 Mg 0.250 0.001 0.634
5 Mg 0.250 0.499 0.634
6 Mg 0.499 0.250 0.134
7 Mg 0.501 0.750 0.866
8 Mg 0.750 0.501 0.366
9 Mg 0.750 0.999 0.366
10 Mg 0.999 0.750 0.866
11 Pt 0.042 0.250 0.451
12 Pt 0.250 0.042 0.951
13 Pt 0.250 0.458 0.951
14 Pt 0.458 0.250 0.451
15 Pt 0.542 0.750 0.549
16 Pt 0.750 0.542 0.049
17 Pt 0.750 0.958 0.049
18 Pt 0.958 0.750 0.549

No. 21
The following is a DFT calculation (PBE-GGA) of a geometry-optimized MnGaRe structure.

Properties
formation enthalpy at 0 K	102	meV/atom
SG	P3m1 (156)
energy above the most stable polymorph in this dataset	0.131	eV/atom
spin magnetization	1.38	Bohr magnetons per cell

abc: 4.198 4.198 2.679
angles: 90.00 90.00 120.00
Fractional positions:
1 Mn 0.000 0.000 0.000
2 Ga 0.333 0.667 0.785
3 Re 0.667 0.333 0.327

No. 22
The following is a DFT calculation (PBE-GGA) of a geometry-optimized Na3USn2S6 structure.

Properties
SG	C2/m (12)
formation energy (no corrections)	-1.034	eV/atom
spin magnetization	1.00	Bohr magnetons per cell

abc: 7.155 7.155 6.940
angles: 99.99 99.99 120.05
Fractional positions:
1 Na 0.000 0.000 0.000
2 Na 0.328 0.672 0.000
3 Na 0.672 0.328 0.000
4 U 0.500 0.500 0.500
5 Sn 0.166 0.834 0.500
6 Sn 0.834 0.166 0.500
7 S 0.116 0.423 0.271
8 S 0.268 0.268 0.724
9 S 0.423 0.116 0.271
10 S 0.577 0.884 0.729
11 S 0.732 0.732 0.276
12 S 0.884 0.577 0.729

No. 23
The following is a DFT calculation (PBE-GGA) of a geometry-optimized Na2Ag3Pd structure.

Properties
formation enthalpy at 0 K	-40	meV/atom
SG	Pmma (51)
energy above the most stable polymorph in this dataset	0.087	eV/atom
spin magnetization	0.00	Bohr magnetons per cell

abc: 5.252 5.681 8.103
angles: 90.00 90.00 90.00
Fractional positions:
1 Na 0.250 0.000 0.097
2 Na 0.250 0.500 0.370
3 Na 0.750 0.000 0.903
4 Na 0.750 0.500 0.630
5 Ag 0.000 0.500 0.000
6 Ag 0.250 0.245 0.734
7 Ag 0.250 0.755 0.734
8 Ag 0.500 0.500 0.000
9 Ag 0.750 0.245 0.266
10 Ag 0.750 0.755 0.266
11 Pd 0.250 0.000 0.440
12 Pd 0.750 0.000 0.560

No. 24
The following is a DFT calculation (PBE-GGA) of a geometry-optimized HfMnAgI2 structure.

Properties
SG	P4/mmm (123)
formation energy (no corrections)	0.711	eV/atom
spin magnetization	1.98	Bohr magnetons per cell

abc: 5.229 5.229 4.881
angles: 90.00 90.00 90.00
Fractional positions:
1 Hf 0.000 0.000 0.000
2 Mn 0.000 0.000 0.500
3 Ag 0.500 0.500 0.000
4 I 0.000 0.500 0.500
5 I 0.500 0.000 0.500

No. 25
The following is a DFT calculation (PBE-GGA) of a geometry-optimized Ir3OsRh4 structure.

Properties
formation enthalpy at 0 K	25	meV/atom
SG	I4/mmm (139)
energy above the most stable polymorph in this dataset	0.000	eV/atom
spin magnetization	0.00	Bohr magnetons per cell

abc: 3.844 3.844 15.492
angles: 90.00 90.00 90.00
Fractional positions:
1 Ir 0.000 0.000 0.000
2 Ir 0.000 0.000 0.248
3 Ir 0.000 0.000 0.752
4 Ir 0.500 0.500 0.252
5 Ir 0.500 0.500 0.500
6 Ir 0.500 0.500 0.748
7 Os 0.000 0.000 0.500
8 Os 0.500 0.500 0.000
9 Rh 0.000 0.500 0.124
10 Rh 0.000 0.500 0.376
11 Rh 0.000 0.500 0.624
12 Rh 0.000 0.500 0.876
13 Rh 0.500 0.000 0.124
14 Rh 0.500 0.000 0.376
15 Rh 0.500 0.000 0.624
16 Rh 0.500 0.000 0.876